# 1
# ReTc2

An optimized crystal structure of ReTc2 (PBE, Alexandria).

```
ReTc2
1.0
-0.937 -1.436 2.145
2.688 0.032 -0.563
0.768 5.439 3.977
Tc Re
2 1
Direct
0.333 0.667 0.334 Tc
0.667 0.333 0.666 Tc
0.000 0.000 0.000 Re
```

## Properties
* calculated formation energy: 0.0650 eV/atom
* energy relative to the lowest polymorph listed for this composition: 0.066 eV per atom
* VASP energy: -10.9950 eV/atom

=====

# 2
# ReTc3

An optimized crystal structure of ReTc3 (PBE, Alexandria).

```
ReTc3
1.0
-0.597 2.416 -1.197
-2.036 -1.637 0.897
0.278 3.994 7.921
Tc Re
3 1
Direct
0.333 0.667 0.749 Tc
0.333 0.667 0.251 Tc
0.000 0.000 0.500 Tc
0.000 0.000 0.000 Re
```

## Properties
* calculated formation energy: 0.0033 eV/atom
* energy relative to the lowest polymorph listed for this composition: 0.007 eV per atom
* VASP energy: -10.8832 eV/atom

=====

# 3
# Re3Tc5

An optimized crystal structure of Re3Tc5 (PBE, Alexandria).

```
Re3Tc5
1.0
4.904 0.341 0.234
2.925 7.665 0.320
2.783 0.342 6.764
Tc Re
10 6
Direct
0.747 0.504 0.515 Tc
0.622 0.825 0.710 Tc
0.161 0.662 0.848 Tc
0.884 0.816 0.301 Tc
0.401 0.301 0.850 Tc
0.252 0.517 0.510 Tc
0.130 0.179 0.674 Tc
0.429 0.144 0.257 Tc
0.562 0.721 0.152 Tc
0.834 0.343 0.196 Tc
0.248 0.492 0.162 Re
0.246 0.861 0.507 Re
0.748 0.133 0.503 Re
0.783 0.484 0.863 Re
0.157 0.032 0.053 Re
0.795 0.986 0.905 Re
```

## Properties
* calculated formation energy: 0.1455 eV/atom
* energy relative to the lowest polymorph listed for this composition: 0.137 eV per atom
* VASP energy: -11.0013 eV/atom

=====

# 4
# Re4Tc

An optimized crystal structure of Re4Tc (PBE, Alexandria).

```
Re4Tc
1.0
-3.266 -1.841 2.787
1.681 -3.803 -0.542
6.759 -2.525 6.252
Re Tc
8 2
Direct
0.720 0.729 0.271 Re
0.780 0.729 0.771 Re
0.220 0.271 0.229 Re
0.212 0.592 0.408 Re
0.712 0.408 0.092 Re
0.288 0.592 0.908 Re
0.788 0.408 0.592 Re
0.280 0.271 0.729 Re
0.500 0.000 0.500 Tc
0.000 0.000 0.000 Tc
```

## Properties
* calculated formation energy: 0.5728 eV/atom
* energy relative to the lowest polymorph listed for this composition: 0.512 eV per atom
* VASP energy: -11.4589 eV/atom

=====

# 5
# ReTc3

An optimized crystal structure of ReTc3 (PBE, Alexandria).

```
ReTc3
1.0
-0.581 -2.100 -1.679
6.691 -3.446 1.994
-1.281 -1.294 2.062
Tc Re
3 1
Direct
0.500 0.250 0.500 Tc
0.000 0.500 0.000 Tc
0.500 0.750 0.500 Tc
0.000 0.000 0.000 Re
```

## Properties
* calculated formation energy: 0.0703 eV/atom
* energy relative to the lowest polymorph listed for this composition: 0.074 eV per atom
* VASP energy: -10.8162 eV/atom

=====

# 6
# ReTc2

An optimized crystal structure of ReTc2 (PBE, Alexandria).

```
ReTc2
1.0
-1.382 1.382 12.030
1.382 -1.382 12.030
1.382 1.382 -12.030
Re Tc
2 4
Direct
0.750 0.250 0.500 Re
0.000 0.000 0.000 Re
0.578 0.578 0.000 Tc
0.328 0.828 0.500 Tc
0.172 0.672 0.500 Tc
0.422 0.422 0.000 Tc
```

## Properties
* calculated formation energy: 0.2758 eV/atom
* energy relative to the lowest polymorph listed for this composition: 0.276 eV per atom
* VASP energy: -10.7843 eV/atom

=====

# 7
# Re2Tc3

An optimized crystal structure of Re2Tc3 (PBE, Alexandria).

```
Re2Tc3
1.0
2.754 0.000 0.000
1.377 2.385 0.000
-1.377 -0.795 11.265
Re Tc
2 3
Direct
0.600 0.600 0.800 Re
0.400 0.400 0.200 Re
0.000 0.000 0.000 Tc
0.200 0.200 0.600 Tc
0.800 0.800 0.400 Tc
```

## Properties
* calculated formation energy: 0.0646 eV/atom
* energy relative to the lowest polymorph listed for this composition: 0.000 eV per atom
* VASP energy: -11.1342 eV/atom

=====

# 8
# Re3Tc

An optimized crystal structure of Re3Tc (PBE, Alexandria).

```
Re3Tc
1.0
-2.126 -0.029 -3.848
2.244 -0.501 -3.747
-0.351 -3.737 -2.290
Re Tc
3 1
Direct
0.000 0.000 0.000 Re
0.250 0.250 0.250 Re
0.500 0.500 0.500 Re
0.750 0.750 0.750 Tc
```

## Properties
* calculated formation energy: 0.2986 eV/atom
* energy relative to the lowest polymorph listed for this composition: 0.299 eV per atom
* VASP energy: -11.6290 eV/atom

=====

# 9
# ReTc3

An optimized crystal structure of ReTc3 (PBE, Alexandria).

```
ReTc3
1.0
-2.738 -0.280 0.236
-0.087 -2.335 -3.771
0.627 -4.037 2.485
Tc Re
3 1
Direct
0.500 0.000 0.498 Tc
0.500 0.500 0.834 Tc
0.000 0.500 0.334 Tc
0.000 0.000 0.000 Re
```

## Properties
* calculated formation energy: 0.0040 eV/atom
* energy relative to the lowest polymorph listed for this composition: 0.008 eV per atom
* VASP energy: -10.8825 eV/atom

=====

# 10
# Re3Tc5

An optimized crystal structure of Re3Tc5 (PBE, Alexandria).

```
Re3Tc5
1.0
-6.375 4.159 0.251
-1.886 -2.670 -3.647
0.625 -6.274 4.271
Re Tc
6 10
Direct
0.583 0.250 0.000 Re
0.417 0.250 0.417 Re
0.417 0.750 0.000 Re
0.000 0.250 0.583 Re
0.000 0.750 0.417 Re
0.583 0.750 0.583 Re
0.210 0.750 0.210 Tc
0.210 0.250 0.000 Tc
0.000 0.250 0.210 Tc
0.333 0.000 0.667 Tc
0.790 0.750 0.000 Tc
0.667 0.000 0.333 Tc
0.790 0.250 0.790 Tc
0.667 0.500 0.333 Tc
0.000 0.750 0.790 Tc
0.333 0.500 0.667 Tc
```

## Properties
* calculated formation energy: 0.3312 eV/atom
* energy relative to the lowest polymorph listed for this composition: 0.323 eV per atom
* VASP energy: -10.8156 eV/atom

=====

# 11
# Re3Tc

An optimized crystal structure of Re3Tc (PBE, Alexandria).

```
Re3Tc
1.0
2.765 0.000 0.000
-1.383 4.584 -0.002
0.000 -0.832 4.712
Re Tc
3 1
Direct
0.000 0.000 0.002 Re
0.250 0.500 0.750 Re
0.500 0.000 0.498 Re
0.750 0.500 0.250 Tc
```

## Properties
* calculated formation energy: 0.0656 eV/atom
* energy relative to the lowest polymorph listed for this composition: 0.067 eV per atom
* VASP energy: -11.8620 eV/atom

=====

# 12
# Re4Tc

An optimized crystal structure of Re4Tc (PBE, Alexandria).

```
Re4Tc
1.0
-2.004 2.004 5.495
2.004 -2.004 5.495
2.004 2.004 -5.495
Re Tc
4 1
Direct
0.750 0.250 0.500 Re
0.611 0.611 0.000 Re
0.389 0.389 0.000 Re
0.250 0.750 0.500 Re
0.000 0.000 0.000 Tc
```

## Properties
* calculated formation energy: 0.8600 eV/atom
* energy relative to the lowest polymorph listed for this composition: 0.800 eV per atom
* VASP energy: -11.1717 eV/atom

=====

# 13
# ReTc3

An optimized crystal structure of ReTc3 (PBE, Alexandria).

```
ReTc3
1.0
-0.955 -4.661 0.397
1.004 0.014 2.582
-4.011 -1.364 3.053
Tc Re
3 1
Direct
0.586 0.250 0.501 Tc
0.496 0.500 0.000 Tc
0.086 0.750 0.499 Tc
0.999 0.000 0.000 Re
```

## Properties
* calculated formation energy: 0.0029 eV/atom
* energy relative to the lowest polymorph listed for this composition: 0.007 eV per atom
* VASP energy: -10.8836 eV/atom

=====

# 14
# ReTc2

An optimized crystal structure of ReTc2 (PBE, Alexandria).

```
ReTc2
1.0
2.168 -3.755 0.000
2.168 3.755 0.000
0.000 0.000 2.731
Re Tc
1 2
Direct
0.000 0.000 0.500 Re
0.333 0.667 0.000 Tc
0.667 0.333 0.000 Tc
```

## Properties
* calculated formation energy: 0.1105 eV/atom
* energy relative to the lowest polymorph listed for this composition: 0.111 eV per atom
* VASP energy: -10.9495 eV/atom

=====

# 15
# ReTc4

An optimized crystal structure of ReTc4 (PBE, Alexandria).

```
ReTc4
1.0
-0.402 4.349 2.458
-3.797 -4.372 -0.626
3.094 1.123 3.779
Tc Re
4 1
Direct
0.750 0.500 0.250 Tc
0.250 0.500 0.750 Tc
0.342 0.684 0.342 Tc
0.658 0.316 0.658 Tc
0.000 0.000 0.000 Re
```

## Properties
* calculated formation energy: 0.7416 eV/atom
* energy relative to the lowest polymorph listed for this composition: 0.673 eV per atom
* VASP energy: -10.0408 eV/atom

=====

# 16
# ReTc3

An optimized crystal structure of ReTc3 (PBE, Alexandria).

```
ReTc3
1.0
2.753 0.000 0.000
1.376 2.384 0.000
1.376 0.795 8.987
Tc Re
3 1
Direct
0.250 0.250 0.251 Tc
0.500 0.500 0.500 Tc
0.750 0.750 0.749 Tc
0.000 0.000 0.000 Re
```

## Properties
* calculated formation energy: 0.0720 eV/atom
* energy relative to the lowest polymorph listed for this composition: 0.076 eV per atom
* VASP energy: -10.8145 eV/atom

=====

# 17
# Re2Tc3

An optimized crystal structure of Re2Tc3 (PBE, Alexandria).

```
Re2Tc3
1.0
2.124 -3.678 0.000
2.124 3.678 0.000
0.000 0.000 5.286
Tc Re
3 2
Direct
0.000 0.000 0.000 Tc
0.667 0.333 0.652 Tc
0.333 0.667 0.348 Tc
0.667 0.333 0.181 Re
0.333 0.667 0.819 Re
```

## Properties
* calculated formation energy: 0.4255 eV/atom
* energy relative to the lowest polymorph listed for this composition: 0.361 eV per atom
* VASP energy: -10.7733 eV/atom

=====

# 18
# Re3Tc

An optimized crystal structure of Re3Tc (PBE, Alexandria).

```
Re3Tc
1.0
3.139 0.000 0.000
0.000 6.103 0.000
0.000 0.000 3.139
Re Tc
3 1
Direct
0.000 0.498 0.000 Re
0.000 0.002 0.000 Re
0.500 0.250 0.500 Re
0.500 0.750 0.500 Tc
```

## Properties
* calculated formation energy: 0.3019 eV/atom
* energy relative to the lowest polymorph listed for this composition: 0.303 eV per atom
* VASP energy: -11.6257 eV/atom

=====

# 19
# Re2Tc

An optimized crystal structure of Re2Tc (PBE, Alexandria).

```
Re2Tc
1.0
6.164 0.000 0.000
4.926 3.705 0.000
-5.545 -1.852 1.953
Tc Re
1 2
Direct
0.333 0.333 0.000 Tc
0.000 0.000 0.000 Re
0.667 0.667 0.000 Re
```

## Properties
* calculated formation energy: 0.0691 eV/atom
* energy relative to the lowest polymorph listed for this composition: 0.073 eV per atom
* VASP energy: -11.6850 eV/atom

=====

# 20
# ReTc2Te

An optimized crystal structure of ReTc2Te (PBE, Alexandria).

```
ReTc2Te
1.0
4.994 -0.006 0.000
1.918 4.611 0.000
-3.456 -2.302 2.774
Te Tc Re
1 2 1
Direct
0.500 0.500 0.000 Te
0.250 0.750 0.500 Tc
0.000 0.000 0.000 Tc
0.750 0.250 0.500 Re
```

## Properties
* VASP energy: -8.5024 eV/atom